Arrangement a

## CaThAl (PBE)

Data for a relaxed CaThAl crystal.

a = 3.475 Å, b = 18.311 Å, c = 5.562 Å
α = 90.00°, β = 90.00°, γ = 90.00°
Fractional coordinates of all 12 atoms:
Ca  0.000  0.211  0.250
Ca  0.000  0.789  0.750
Ca  0.500  0.289  0.750
Ca  0.500  0.711  0.250
Th  0.000  0.077  0.750
Th  0.000  0.923  0.250
Th  0.500  0.423  0.250
Th  0.500  0.577  0.750
Al  0.000  0.431  0.750
Al  0.000  0.569  0.250
Al  0.500  0.069  0.250
Al  0.500  0.931  0.750

Results
Space-group type: Cmcm

---

Arrangement b

## CaThAl (PBE)

Data for a relaxed CaThAl crystal.

a = 3.488 Å, b = 3.488 Å, c = 14.403 Å
α = 90.00°, β = 90.00°, γ = 90.00°
Fractional coordinates of all 6 atoms:
Ca  0.000  0.000  0.000
Ca  0.500  0.500  0.500
Th  0.000  0.000  0.286
Th  0.500  0.500  0.786
Al  0.000  0.000  0.646
Al  0.500  0.500  0.146

Results
Space-group type: I4mm

---

The energetic minimum among the shown structures is arrangement b; the next structure lies 17 meV/atom above.